A plane-wave DFT calculation with PBE-GGA was carried out for an optimized crystal structure of K2AsAuCl6.

For the spin magnetization, the calculation gives 0.00 μB per formula unit. For the energy above the most stable polymorph in this dataset, the calculation gives 0.0000 eV/atom. As for the space group: P1 (1). The density of states at the Fermi level is 0.000 states/eV/f.u. Its crystal system is triclinic.

Cell and atoms, written as POSCAR:
```
K2AsAuCl6
1.0
0.2253 4.2626 6.4116
0.3922 -3.2979 6.8227
6.7428 0.8034 4.3354
Cl K As Au
6 2 1 1
Direct
0.4791 0.6700 0.7221
0.1272 0.4359 0.8096
0.2156 0.0140 0.2308
0.7272 0.1008 0.7284
0.5555 0.1958 0.2250
0.0348 0.5297 0.2358
0.5443 0.5110 0.3817
0.0351 0.0228 0.9213
0.3227 0.3112 0.0353
0.6202 0.8706 0.7252
```